# 1
DFT (PBE-GGA) results for crystalline BaZnIN2 at its relaxed geometry.

The total magnetization comes out at 2.98 μB per cell. Its energy above the lowest structure with this stoichiometry is 0 meV/atom. The calculation puts the density of states at the Fermi level at 0.500 states/eV/atom. The formation energy (no corrections) is 0.7311 eV per atom. For the electronic total energy, the calculation gives -0.1304 Ha/atom.

Structure (POSCAR):
```
BaZnIN2
1.0
4.5891 0.0000 0.0000
0.0000 4.5891 0.0000
0.0000 0.0000 5.4000
Ba Zn I N
1 1 1 2
Direct
0.0000 0.0000 0.0000 Ba
0.5000 0.5000 0.5000 Zn
0.5000 0.5000 0.0000 I
0.0000 0.5000 0.5000 N
0.5000 0.0000 0.5000 N
```

=====

# 2
DFT (PBE-GGA) results for crystalline Ba2ZnIN at its relaxed geometry.

The total magnetization comes out at 0.00 μB per cell. The calculation puts the density of states at the Fermi level at 0.607 states/eV/atom. The formation energy (no corrections) is -0.5626 eV per atom. For the electronic total energy, the calculation gives -0.1309 Ha/atom.

Structure (POSCAR):
```
Ba2ZnIN
1.0
5.9903 0.0000 0.0000
0.0000 5.9903 0.0000
0.0000 0.0000 3.9938
Ba Zn I N
2 1 1 1
Direct
0.0000 0.5000 0.0000 Ba
0.5000 0.0000 0.0000 Ba
0.0000 0.0000 0.5000 Zn
0.5000 0.5000 0.5000 I
0.0000 0.0000 0.0000 N
```

=====

# 3
DFT (PBE-GGA) results for crystalline BaZnIN2 at its relaxed geometry.

The total magnetization comes out at 2.32 μB per cell. Its energy above the lowest structure with this stoichiometry is 610 meV/atom. The calculation puts the density of states at the Fermi level at 0.807 states/eV/atom. The formation energy (no corrections) is 1.3415 eV per atom. For the electronic total energy, the calculation gives -0.1080 Ha/atom.

Structure (POSCAR):
```
BaZnIN2
1.0
4.8077 0.0000 0.0000
0.0000 4.8077 0.0000
0.0000 0.0000 7.3574
Ba Zn I N
1 1 1 2
Direct
0.0000 0.0000 0.0000 Ba
0.5000 0.5000 0.5000 Zn
0.0000 0.0000 0.5000 I
0.0000 0.5000 0.0000 N
0.5000 0.0000 0.0000 N
```

=====

# 4
DFT (PBE-GGA) results for crystalline BaNaI2 at its relaxed geometry.

The total magnetization comes out at 1.57 μB per cell. Its energy above the lowest structure with this stoichiometry is 184 meV/atom. The calculation puts the density of states at the Fermi level at 0.998 states/eV/atom. The formation energy (no corrections) is -1.0785 eV per atom. For the electronic total energy, the calculation gives -0.0979 Ha/atom.

Structure (POSCAR):
```
BaNaI2
1.0
-3.8692 3.8692 7.3809
3.8692 -3.8692 7.3809
3.8692 3.8692 -7.3809
Ba Na I
2 2 4
Direct
0.0000 0.0000 0.0000 Ba
0.7500 0.2500 0.5000 Ba
0.2500 0.7500 0.5000 Na
0.5000 0.5000 0.0000 Na
0.1625 0.6250 0.0375 I
0.3750 0.4125 0.5375 I
0.5875 0.1250 0.9625 I
0.8750 0.8375 0.4625 I
```